No. 1
The following is a PBE calculation of crystalline NaLiGaAg at its relaxed geometry, from Alexandria via LeMat-Bulk.

a b c (Å): 4.705 4.705 4.705
angles (deg): 60.00 60.00 60.00
Fractional positions:
Na 0.000 0.000 0.000
Li 0.750 0.750 0.750
Ga 0.250 0.250 0.250
Ag 0.500 0.500 0.500

Calculated values
Theoretical density: 4.68 g/cm3
Size of the total moment: 0.0 μB per formula unit
Volume: 18.41 A^3/atom
Raw total energy: -2.38 eV/atom
Space group: No. 216
DFT formation energy: -0.106 eV per atom

No. 2
The following is a PBE calculation of crystalline Nd4Sm4Mg at its relaxed geometry, from Alexandria via LeMat-Bulk.

a b c (Å): 8.077 8.077 8.077
angles (deg): 95.76 95.76 143.08
Fractional positions:
Nd 0.166 0.166 0.331
Nd 0.166 0.834 0.000
Nd 0.834 0.166 0.000
Nd 0.834 0.834 0.669
Sm 0.167 0.500 0.667
Sm 0.500 0.167 0.667
Sm 0.500 0.833 0.333
Sm 0.833 0.500 0.333
Mg 0.500 0.500 0.000

Calculated values
Theoretical density: 6.65 g/cm3
Size of the total moment: 0.0 μB per formula unit
Volume: 33.36 A^3/atom
Raw total energy: -4.38 eV/atom
Energy above the lowest structure with this stoichiometry: 0 meV/atom
Space group: No. 139
DFT formation energy: 0.015 eV per atom

No. 3
The following is a PBE calculation of crystalline CrRe2As at its relaxed geometry, from Alexandria via LeMat-Bulk.

a b c (Å): 5.104 5.104 5.104
angles (deg): 145.94 129.07 62.70
Fractional positions:
Cr 0.000 0.000 0.000
Re 0.270 0.770 0.500
Re 0.730 0.230 0.500
As 0.500 0.500 0.000

Calculated values
Theoretical density: 14.49 g/cm3
Size of the total moment: 0.6 μB per formula unit
Volume: 14.30 A^3/atom
Raw total energy: -9.52 eV/atom
Space group: No. 71
DFT formation energy: 0.271 eV per atom